Entry 1:
A plane-wave DFT calculation with SCAN was carried out for a crystal of Cr2HgAuI relaxed with PBEsol.

## Properties
Fermi-level density of states ... 1.18 states/eV per cell
Spin magnetization ... 9.920 μB/f.u.
E_tot ... -205.713 eV/cell
Formation energy from raw total energies ... 1.02 eV/atom

```
data_Cr2HgAuI
_chemical_formula_sum 'Cr2 Hg1 Au1 I1'
_cell_length_a 5.105
_cell_length_b 5.105
_cell_length_c 6.022
_cell_angle_alpha 90.00
_cell_angle_beta 90.00
_cell_angle_gamma 90.00
_space_group_name_H-M_alt 'P 4/m m m'
_space_group_IT_number 123
_space_group_name_Hall '-P 4 2'
loop_
_atom_site_label
_atom_site_fract_x
_atom_site_fract_y
_atom_site_fract_z
Cr1 0.000 0.500 0.000
Hg1 0.000 0.000 0.500
Au1 0.500 0.500 0.500
I1 0.000 0.000 0.000
```

***

Entry 2:
A plane-wave DFT calculation with SCAN was carried out for a crystal of YZnTe2 relaxed with PBEsol.

## Properties
Fermi-level density of states ... 2.95 states/eV per cell
Energy relative to the lowest polymorph listed for this composition ... 373 meV/atom
Spin magnetization ... 0.000 μB/f.u.
E_tot ... -236.836 eV/cell
Formation energy from raw total energies ... -0.64 eV/atom

```
data_YZnTe2
_chemical_formula_sum 'Y2 Zn2 Te4'
_cell_length_a 4.233
_cell_length_b 4.233
_cell_length_c 11.013
_cell_angle_alpha 90.00
_cell_angle_beta 90.00
_cell_angle_gamma 90.00
_space_group_name_H-M_alt 'I -4 m 2'
_space_group_IT_number 119
_space_group_name_Hall 'I -4 -2'
loop_
_atom_site_label
_atom_site_fract_x
_atom_site_fract_y
_atom_site_fract_z
Y1 0.000 0.000 0.000
Zn1 0.000 0.500 0.250
Te1 0.000 0.000 0.500
Te2 0.000 0.500 0.750
```

***

Entry 3:
A plane-wave DFT calculation with SCAN was carried out for a crystal of SrLi2Pb relaxed with PBEsol.

## Properties
Fermi-level density of states ... 1.73 states/eV per cell
Spin magnetization ... 0.703 μB/f.u.
Calculated formation energy ... -6.9 kcal/mol of atoms
E_tot ... -104.034 eV/cell

```
data_SrLi2Pb
_chemical_formula_sum 'Sr1 Li2 Pb1'
_cell_length_a 4.908
_cell_length_b 4.908
_cell_length_c 4.433
_cell_angle_alpha 90.00
_cell_angle_beta 90.00
_cell_angle_gamma 90.00
_space_group_name_H-M_alt 'P 4/m m m'
_space_group_IT_number 123
_space_group_name_Hall '-P 4 2'
loop_
_atom_site_label
_atom_site_fract_x
_atom_site_fract_y
_atom_site_fract_z
Sr1 0.000 0.000 0.000
Li1 0.000 0.500 0.500
Pb1 0.500 0.500 0.000
```